Entry from Alexandria via LeMat-Bulk: a relaxed Nd3ErPt8 crystal (PBE).

Lattice parameters (Å, degrees): 5.493 5.493 9.518 73.23 73.23 60.00
Fractional coordinates of all 12 atoms:
Er 0.875 0.875 0.376
Pt 0.938 0.440 0.685
Pt 0.936 0.437 0.190
Pt 0.188 0.188 0.437
Pt 0.688 0.688 0.937
Pt 0.437 0.936 0.190
Pt 0.938 0.938 0.685
Pt 0.440 0.938 0.685
Pt 0.437 0.437 0.190
Nd 0.501 0.501 0.497
Nd 0.999 0.999 0.003
Nd 0.375 0.375 0.875

Formation energy   -1.08 eV/atom
Final energy   -6.675 eV per atom